Entry 1:
LaTb5Pr2Sc, optimized geometry, DFT GGA-PBE; formation enthalpy at 0 K = 0.268 eV/atom; symmetry = I4/mcm (140)
1.0
-4.356 4.356 7.823
4.356 -4.356 7.823
4.356 4.356 -7.823
La Tb Pr Sc
2 10 4 2
Direct
0.250 0.250 0.000
0.750 0.750 0.000
0.000 0.000 0.000
0.066 0.566 0.912
0.154 0.066 0.500
0.346 0.846 0.912
0.434 0.346 0.500
0.500 0.500 0.000
0.566 0.654 0.500
0.654 0.154 0.088
0.846 0.934 0.500
0.934 0.434 0.088
0.120 0.380 0.500
0.380 0.880 0.260
0.620 0.120 0.740
0.880 0.620 0.500
0.250 0.750 0.500
0.750 0.250 0.500

Entry 2:
ReSiW2, optimized geometry, DFT GGA-PBE; ΔE_f (raw) = 0.37 eV/f.u.; symmetry = P4/mmm (123)
1.0
2.869 0.000 0.000
0.000 2.869 0.000
0.000 0.000 7.221
Re Si W
1 1 2
Direct
0.000 0.000 0.000
0.000 0.000 0.500
0.500 0.500 0.262
0.500 0.500 0.738

Entry 3:
LaTlH8Ir2, optimized geometry, DFT GGA-PBE; symmetry = C2/m (12); total DFT energy (no corrections) = -4.492 eV/atom
1.0
4.627 -2.451 0.000
4.627 2.451 0.000
-2.145 0.000 5.549
La Tl H Ir
1 1 8 2
Direct
0.000 0.000 0.000
0.500 0.500 0.500
0.012 0.571 0.181
0.082 0.082 0.451
0.426 0.426 0.890
0.429 0.988 0.819
0.571 0.012 0.181
0.574 0.574 0.110
0.918 0.918 0.549
0.988 0.429 0.819
0.259 0.259 0.655
0.741 0.741 0.345

Entry 4:
Sr3Al3Si2, optimized geometry, DFT GGA-PBE; ΔE_f (raw) = -2.74 eV/f.u.; symmetry = Cmcm (63)
1.0
2.108 -6.139 0.000
2.108 6.139 0.000
0.000 0.000 16.583
Sr Al Si
6 6 4
Direct
0.037 0.963 0.750
0.341 0.659 0.593
0.341 0.659 0.907
0.659 0.341 0.093
0.659 0.341 0.407
0.963 0.037 0.250
0.069 0.931 0.557
0.069 0.931 0.943
0.243 0.757 0.250
0.757 0.243 0.750
0.931 0.069 0.057
0.931 0.069 0.443
0.362 0.638 0.120
0.362 0.638 0.380
0.638 0.362 0.620
0.638 0.362 0.880

Entry 5:
ZnPtSe, optimized geometry, DFT GGA-PBE; ΔE_f (raw) = 0.02 eV/f.u.; symmetry = P-6m2 (187)
1.0
4.526 0.000 0.000
-2.263 3.920 0.000
0.000 0.000 2.837
Zn Pt Se
1 1 1
Direct
0.000 0.000 0.000
0.667 0.333 0.500
0.333 0.667 0.500

Entry 6:
AlIr4Rh, optimized geometry, DFT GGA-PBE; formation enthalpy at 0 K = 0.350 eV/atom; symmetry = F-43m (216)
1.0
0.000 3.633 3.633
3.633 0.000 3.633
3.633 3.633 0.000
Al Ir Rh
1 4 1
Direct
0.000 0.000 0.000
0.375 0.375 0.375
0.375 0.375 0.875
0.375 0.875 0.375
0.875 0.375 0.375
0.750 0.750 0.750

Entry 7:
Tm2ZnCu5Ni2, optimized geometry, DFT GGA-PBE; formation enthalpy at 0 K = -0.226 eV/atom; symmetry = P4/mbm (127)
1.0
8.916 0.000 0.000
0.000 8.916 0.000
0.000 0.000 3.788
Tm Zn Cu Ni
4 2 10 4
Direct
0.179 0.321 0.000
0.321 0.821 0.000
0.679 0.179 0.000
0.821 0.679 0.000
0.000 0.000 0.000
0.500 0.500 0.000
0.000 0.500 0.500
0.060 0.795 0.500
0.205 0.060 0.500
0.295 0.560 0.500
0.440 0.295 0.500
0.500 0.000 0.500
0.560 0.705 0.500
0.705 0.440 0.500
0.795 0.940 0.500
0.940 0.205 0.500
0.117 0.617 0.000
0.383 0.117 0.000
0.617 0.883 0.000
0.883 0.383 0.000

Entry 8:
Li3Cu2Ge4, optimized geometry, DFT GGA-PBE; formation enthalpy at 0 K = -0.159 eV/atom; symmetry = C2/m (12)
1.0
4.495 -2.034 0.000
4.495 2.034 0.000
-0.765 0.000 7.705
Li Cu Ge
3 2 4
Direct
0.000 0.000 0.000
0.393 0.393 0.767
0.607 0.607 0.233
0.231 0.231 0.402
0.769 0.769 0.598
0.084 0.084 0.655
0.309 0.309 0.107
0.691 0.691 0.893
0.916 0.916 0.345

Entry 9:
InNiH3, optimized geometry, DFT GGA-PBE; symmetry = Pm-3m (221); total DFT energy (no corrections) = -2.775 eV/atom
1.0
3.852 0.000 0.000
0.000 3.852 0.000
0.000 0.000 3.852
In Ni H
1 1 3
Direct
0.000 0.000 0.000
0.500 0.500 0.500
0.000 0.000 0.500
0.000 0.500 0.000
0.500 0.000 0.000

Entry 10:
Ce2Cu3Ni, optimized geometry, DFT GGA-PBE; formation enthalpy at 0 K = -0.189 eV/atom; symmetry = Cm (8)
1.0
9.682 0.000 0.000
0.000 4.339 0.000
-4.297 0.000 5.138
Ce Cu Ni
4 6 2
Direct
0.000 0.000 0.000
0.079 0.000 0.577
0.500 0.500 0.000
0.579 0.500 0.577
0.203 0.500 0.002
0.207 0.500 0.404
0.372 0.000 0.182
0.703 0.000 0.002
0.707 0.000 0.404
0.872 0.500 0.182
0.377 0.000 0.598
0.877 0.500 0.598

Entry 11:
K2CaTc, optimized geometry, DFT GGA-PBE; formation enthalpy at 0 K = 1.173 eV/atom; symmetry = P4/mmm (123)
1.0
3.529 0.000 0.000
0.000 3.529 0.000
0.000 0.000 12.320
K Ca Tc
2 1 1
Direct
0.000 0.000 0.202
0.000 0.000 0.798
0.500 0.500 0.500
0.500 0.500 0.000

Entry 12:
Tb12MgRu6, optimized geometry, DFT GGA-PBE; formation enthalpy at 0 K = -0.239 eV/atom; symmetry = Im-3 (204)
1.0
-4.954 4.954 4.954
4.954 -4.954 4.954
4.954 4.954 -4.954
Tb Mg Ru
12 1 6
Direct
0.100 0.803 0.298
0.197 0.298 0.495
0.197 0.702 0.900
0.298 0.100 0.803
0.298 0.495 0.197
0.495 0.197 0.298
0.505 0.803 0.702
0.702 0.505 0.803
0.702 0.900 0.197
0.803 0.298 0.100
0.803 0.702 0.505
0.900 0.197 0.702
0.000 0.000 0.000
0.124 0.624 0.500
0.376 0.500 0.876
0.500 0.124 0.624
0.500 0.876 0.376
0.624 0.500 0.124
0.876 0.376 0.500

Entry 13:
LaTm5Tl4, optimized geometry, DFT GGA-PBE; formation enthalpy at 0 K = -0.240 eV/atom; symmetry = P4/mmm (123)
1.0
3.568 0.000 0.000
0.000 3.568 0.000
0.000 0.000 21.892
La Tm Tl
1 5 4
Direct
0.000 0.000 0.000
0.500 0.500 0.119
0.500 0.500 0.309
0.500 0.500 0.500
0.500 0.500 0.691
0.500 0.500 0.881
0.000 0.000 0.214
0.000 0.000 0.405
0.000 0.000 0.595
0.000 0.000 0.786

Entry 14:
MnPdPt, optimized geometry, DFT GGA-PBE; formation enthalpy at 0 K = -0.242 eV/atom; symmetry = P6_3/mmc (194)
1.0
4.418 0.000 0.000
-2.209 3.826 0.000
0.000 0.000 5.430
Mn Pd Pt
2 2 2
Direct
0.333 0.667 0.250
0.667 0.333 0.750
0.333 0.667 0.750
0.667 0.333 0.250
0.000 0.000 0.000
0.000 0.000 0.500

Entry 15:
K3Ac2PmO6, optimized geometry, DFT GGA-PBE; ΔE_f (raw) = -31.01 eV/f.u.; symmetry = C2/m (12)
1.0
3.273 -5.673 0.000
3.273 5.673 0.000
-2.173 0.000 6.344
K Ac Pm O
3 2 1 6
Direct
0.000 0.000 0.000
0.339 0.661 0.000
0.661 0.339 0.000
0.167 0.833 0.500
0.833 0.167 0.500
0.500 0.500 0.500
0.116 0.436 0.307
0.244 0.244 0.693
0.436 0.116 0.307
0.564 0.884 0.693
0.756 0.756 0.307
0.884 0.564 0.693

Entry 16:
NbTlRu2, optimized geometry, DFT GGA-PBE; formation enthalpy at 0 K = 0.039 eV/atom; symmetry = P4/mmm (123)
1.0
3.237 0.000 0.000
0.000 3.237 0.000
0.000 0.000 6.504
Nb Tl Ru
1 1 2
Direct
0.000 0.000 0.000
0.000 0.000 0.500
0.500 0.500 0.227
0.500 0.500 0.773

Entry 17:
LaIn4Tc, optimized geometry, DFT GGA-PBE; formation enthalpy at 0 K = 0.249 eV/atom; symmetry = F-43m (216)
1.0
0.000 4.191 4.191
4.191 0.000 4.191
4.191 4.191 0.000
La In Tc
1 4 1
Direct
0.000 0.000 0.000
0.375 0.375 0.375
0.375 0.375 0.874
0.375 0.874 0.375
0.874 0.375 0.375
0.750 0.750 0.750

Entry 18:
HoUB4, optimized geometry, DFT GGA-PBE; formation enthalpy at 0 K = -0.341 eV/atom; symmetry = I-4m2 (119)
1.0
3.564 0.000 0.000
0.000 3.564 0.000
0.000 0.000 11.364
Ho U B
2 2 8
Direct
0.000 0.000 0.000
0.500 0.500 0.500
0.000 0.500 0.250
0.500 0.000 0.750
0.000 0.000 0.419
0.000 0.000 0.581
0.000 0.500 0.672
0.000 0.500 0.828
0.500 0.000 0.172
0.500 0.000 0.328
0.500 0.500 0.081
0.500 0.500 0.919

Entry 19:
TiCu2IrOs, optimized geometry, DFT GGA-PBE; formation enthalpy at 0 K = 1.280 eV/atom; symmetry = P4/mmm (123)
1.0
4.560 0.000 0.000
0.000 4.560 0.000
0.000 0.000 4.706
Ti Cu Ir Os
1 2 1 1
Direct
0.000 0.000 0.000
0.000 0.500 0.500
0.500 0.000 0.500
0.500 0.500 0.000
0.500 0.500 0.500

Entry 20:
NaPrTe2, optimized geometry, DFT GGA-PBE; ΔE_f (raw) = -5.03 eV/f.u.; symmetry = R3m (160)
1.0
4.443 0.000 0.000
-2.222 3.848 0.000
0.000 0.000 24.058
Na Pr Te
3 3 6
Direct
0.000 0.000 0.000
0.333 0.667 0.667
0.667 0.333 0.333
0.000 0.000 0.169
0.333 0.667 0.836
0.667 0.333 0.502
0.000 0.000 0.421
0.000 0.000 0.584
0.333 0.667 0.087
0.333 0.667 0.250
0.667 0.333 0.754
0.667 0.333 0.917

Magnetization, record by record: 0.000; 0.000; 0.000; 0.000; 0.000; 0.095; 0.000; 0.000; 0.090; 0.071; 0.849; 0.000; 0.011; 1.533; 0.000; 0.000; 0.326; 0.153; 0.000; 0.000 μB per atom